Entry from Alexandria: a relaxed structure of CaEr2Zn9 (PBE).

DFT total energy = -2.167 eV per atom
Total magnetic moment = 0.0 μB per formula unit

```
CaEr2Zn9
1.0
0.4455 -2.1709 5.0097
4.9195 -1.4352 1.9356
2.7662 6.5824 5.6014
Zn Er Ca
9 2 1
Direct
0.0762 0.5875 0.7488 Zn
0.6646 0.6646 0.0061 Zn
0.5875 0.0762 0.7488 Zn
0.3354 0.3354 0.9939 Zn
0.4125 0.4125 0.2512 Zn
0.5875 0.5875 0.7488 Zn
0.5000 0.5000 0.5000 Zn
0.9238 0.4125 0.2512 Zn
0.4125 0.9238 0.2512 Zn
0.8576 0.8576 0.4272 Er
0.1424 0.1424 0.5728 Er
0.0000 0.0000 0.0000 Ca
```

Entry from Alexandria: a relaxed structure of Ru2PbW (PBE).

DFT total energy = -8.127 eV per atom
Total magnetic moment = 0.0 μB per formula unit

```
Ru2PbW
1.0
9.4700 0.0121 0.0071
9.0159 2.8971 0.0071
9.0159 1.4189 2.5259
Ru W Pb
2 1 1
Direct
0.9923 0.9923 0.9923 Ru
0.2517 0.2517 0.2517 Ru
0.5083 0.5083 0.5083 W
0.7477 0.7477 0.7477 Pb
```

Entry from Alexandria: a relaxed structure of InNi2Bi2 (PBE).

Energy relative to the lowest polymorph listed for this composition = 0.000 eV/atom
DFT total energy = -4.315 eV per atom
Total magnetic moment = 0.0 μB per formula unit

```
InNi2Bi2
1.0
-0.2147 -3.3687 -1.1904
-1.0328 -1.0831 3.2514
-9.2268 -0.8713 -1.2511
Bi In Ni
2 1 2
Direct
0.3614 0.3614 0.2772 Bi
0.6386 0.6386 0.7228 Bi
0.0000 0.0000 0.0000 In
0.2500 0.7500 0.5000 Ni
0.7500 0.2500 0.5000 Ni
```

Entry from Alexandria: a relaxed structure of LaCoAg3 (PBE).

Energy relative to the lowest polymorph listed for this composition = 1.222 eV/atom
DFT total energy = -2.584 eV per atom
Total magnetic moment = 2.2 μB per formula unit

```
LaCoAg3
1.0
-3.0577 -3.0945 -3.5190
-0.0428 -4.1832 3.7159
-4.6859 2.0575 2.2623
Ag La Co
3 1 1
Direct
0.0000 0.0000 0.5000 Ag
0.5000 0.0000 0.0000 Ag
0.0000 0.5000 0.0000 Ag
0.0000 0.0000 0.0000 La
0.5000 0.5000 0.5000 Co
```

Entry from Alexandria: a relaxed structure of LaCoBr2 (PBE).

Energy relative to the lowest polymorph listed for this composition = 0.273 eV/atom
DFT total energy = -4.479 eV per atom
Total magnetic moment = 2.1 μB per formula unit

```
LaCoBr2
1.0
-0.6939 0.4667 3.5220
-3.5515 -0.2153 -0.6664
0.2921 -8.4687 1.1798
Co Br La
1 2 1
Direct
0.0000 0.0000 0.4831 Co
0.5000 0.5000 0.3654 Br
0.0000 0.0000 0.9393 Br
0.5000 0.5000 0.7122 La
```

Entry from Alexandria: a relaxed structure of Sc2Be3Pt4 (PBE).

DFT total energy = -6.284 eV per atom
Total magnetic moment = 0.0 μB per formula unit

```
Sc2Be3Pt4
1.0
-2.0146 1.6535 4.6852
0.2619 -6.5403 2.4209
7.4259 0.3041 0.0182
Sc Be Pt
4 6 8
Direct
0.6140 0.9120 0.2281 Sc
0.8860 0.4120 0.7719 Sc
0.3860 0.0880 0.7719 Sc
0.1140 0.5880 0.2281 Sc
0.4757 0.2500 0.4515 Be
0.0000 0.0000 0.0000 Be
0.9757 0.2500 0.4515 Be
0.5000 0.5000 0.0000 Be
0.0243 0.7500 0.5485 Be
0.5243 0.7500 0.5485 Be
0.6946 0.7500 0.8892 Pt
0.3150 0.4726 0.6299 Pt
0.3054 0.2500 0.1108 Pt
0.1850 0.9726 0.3701 Pt
0.1946 0.7500 0.8892 Pt
0.8054 0.2500 0.1108 Pt
0.6850 0.5274 0.3701 Pt
0.8150 0.0274 0.6299 Pt
```